(1)
Compound: La2ZrCl
Source: Alexandria via LeMat-Bulk
Functional: PBE-GGA
Structure: optimized geometry

Properties
- Spin magnetization: 0.0736 μB/atom
- Uncorrected formation energy: -0.384 eV/atom
- ΔE to the lowest computed polymorph: 195.4 meV per atom

```
data_La2ZrCl
_cell_length_a 3.345
_cell_length_b 5.270
_cell_length_c 12.518
_cell_angle_alpha 90.00
_cell_angle_beta 90.00
_cell_angle_gamma 90.00
_space_group_name_H-M_alt 'I m m 2'
_space_group_IT_number 44
loop_
_space_group_symop_operation_xyz
'x,y,z'
'-x,-y,z'
'-x,y,z'
'x,-y,z'
'x+1/2,y+1/2,z+1/2'
'-x+1/2,-y+1/2,z+1/2'
'-x+1/2,y+1/2,z+1/2'
'x+1/2,-y+1/2,z+1/2'
loop_
_atom_site_label
_atom_site_fract_x
_atom_site_fract_y
_atom_site_fract_z
_atom_site_occupancy
La1 0.000 0.000 0.000 1
La2 0.000 0.500 0.209 1
Zr1 0.000 0.500 0.787 1
Cl1 0.000 0.000 0.485 1
```

(2)
Compound: Sr3Pu2UP6
Source: Alexandria via LeMat-Bulk
Functional: PBE-GGA
Structure: optimized geometry

Properties
- Spin magnetization: 0.8334 μB/atom
- Formation energy: -1071.0 meV/atom

```
data_Sr3Pu2UP6
_cell_length_a 7.182
_cell_length_b 12.439
_cell_length_c 7.273
_cell_angle_alpha 90.00
_cell_angle_beta 109.22
_cell_angle_gamma 90.00
_space_group_name_H-M_alt 'C 1 2/m 1'
_space_group_IT_number 12
loop_
_space_group_symop_operation_xyz
'x,y,z'
'-x,-y,-z'
'-x,y,-z'
'x,-y,z'
'x+1/2,y+1/2,z'
'-x+1/2,-y+1/2,-z'
'-x+1/2,y+1/2,-z'
'x+1/2,-y+1/2,z'
loop_
_atom_site_label
_atom_site_fract_x
_atom_site_fract_y
_atom_site_fract_z
_atom_site_occupancy
Sr1 0.000 0.000 0.000 1
Sr2 0.000 0.332 0.000 1
Pu1 0.000 0.166 0.500 1
U1 0.000 0.500 0.500 1
P1 0.232 0.338 0.710 1
P2 0.246 0.000 0.710 1
```

(3)
Compound: RbLa2Ir
Source: Alexandria via LeMat-Bulk
Functional: PBE-GGA
Structure: optimized geometry

Properties
- Spin magnetization: 0.0000 μB/atom
- Formation energy: 51.1 meV/atom
- ΔE to the lowest computed polymorph: 429.4 meV per atom

```
data_RbLa2Ir
_cell_length_a 8.700
_cell_length_b 8.700
_cell_length_c 12.338
_cell_angle_alpha 90.00
_cell_angle_beta 90.00
_cell_angle_gamma 90.00
_space_group_name_H-M_alt 'I -4 2 d'
_space_group_IT_number 122
_space_group_name_Hall 'I -4 2bw'
loop_
_atom_site_label
_atom_site_fract_x
_atom_site_fract_y
_atom_site_fract_z
_atom_site_occupancy
Rb1 0.000 0.000 0.000 1
La1 0.001 0.250 0.625 1
Ir1 0.000 0.000 0.500 1
```

(4)
Compound: AlRe2Mo
Source: Alexandria via LeMat-Bulk
Functional: PBE-GGA
Structure: optimized geometry

Properties
- Spin magnetization: 0.0000 μB/atom
- Formation energy: 20.5 meV/atom

```
data_AlRe2Mo
_cell_length_a 2.8101
_cell_length_b 2.8101
_cell_length_c 26.5269
_cell_angle_alpha 90.00
_cell_angle_beta 90.00
_cell_angle_gamma 120.00
_space_group_name_H-M_alt 'R -3 m'
_space_group_IT_number 166
_space_group_name_Hall '-R 3 2"'
loop_
_atom_site_label
_atom_site_fract_x
_atom_site_fract_y
_atom_site_fract_z
_atom_site_occupancy
Al1 0.0000 0.0000 0.0000 1
Re1 0.0000 0.0000 0.2504 1
Mo1 0.0000 0.0000 0.5000 1
```

(5)
Compound: ZrSi2Ag
Source: Alexandria via LeMat-Bulk
Functional: PBE-GGA
Structure: optimized geometry

Properties
- Spin magnetization: 0.0000 μB/atom
- Uncorrected formation energy: 0.026 eV/atom

```
data_ZrSi2Ag
_cell_length_a 2.890
_cell_length_b 2.890
_cell_length_c 8.415
_cell_angle_alpha 90.00
_cell_angle_beta 90.00
_cell_angle_gamma 90.00
_space_group_name_H-M_alt 'P 4/m m m'
_space_group_IT_number 123
_space_group_name_Hall '-P 4 2'
loop_
_atom_site_label
_atom_site_fract_x
_atom_site_fract_y
_atom_site_fract_z
_atom_site_occupancy
Zr1 0.000 0.000 0.000 1
Si1 0.500 0.500 0.244 1
Ag1 0.000 0.000 0.500 1
```

(6)
Compound: Tb5Bi4C
Source: Alexandria via LeMat-Bulk
Functional: PBE-GGA
Structure: optimized geometry

Properties
- Spin magnetization: 0.0000 μB/atom
- Formation energy: -630.6 meV/atom

```
data_Tb5Bi4C
_cell_length_a 9.610
_cell_length_b 9.610
_cell_length_c 6.278
_cell_angle_alpha 90.00
_cell_angle_beta 90.00
_cell_angle_gamma 90.00
_space_group_name_H-M_alt 'I 4'
_space_group_IT_number 79
loop_
_space_group_symop_operation_xyz
'x,y,z'
'-y,x,z'
'-x,-y,z'
'y,-x,z'
'x+1/2,y+1/2,z+1/2'
'-y+1/2,x+1/2,z+1/2'
'-x+1/2,-y+1/2,z+1/2'
'y+1/2,-x+1/2,z+1/2'
loop_
_atom_site_label
_atom_site_fract_x
_atom_site_fract_y
_atom_site_fract_z
_atom_site_occupancy
Tb1 0.000 0.000 0.000 1
Tb2 0.095 0.246 0.433 1
Bi1 0.081 0.313 0.929 1
C1 0.000 0.000 0.383 1
```

(7)
Compound: CaLa3Ni8
Source: Alexandria via LeMat-Bulk
Functional: PBE-GGA
Structure: optimized geometry

Properties
- Spin magnetization: 0.0000 μB/atom
- Formation energy: -299.8 meV/atom

```
data_CaLa3Ni8
_cell_length_a 5.1693
_cell_length_b 5.1693
_cell_length_c 25.4405
_cell_angle_alpha 90.00
_cell_angle_beta 90.00
_cell_angle_gamma 120.00
_space_group_name_H-M_alt 'R 3 m'
_space_group_IT_number 160
_space_group_name_Hall 'R 3 -2"'
loop_
_atom_site_label
_atom_site_fract_x
_atom_site_fract_y
_atom_site_fract_z
_atom_site_occupancy
Ca1 0.0000 0.0000 0.0000 1
La1 0.0000 0.0000 0.3718 1
La2 0.0000 0.0000 0.4982 1
La3 0.0000 0.0000 0.8766 1
Ni1 0.0000 0.0000 0.1870 1
Ni2 0.0000 0.0000 0.6863 1
Ni3 0.9996 0.4998 0.4363 1
Ni4 0.1671 0.3343 0.2706 1
```

(8)
Compound: Ca4PtAu
Source: Alexandria via LeMat-Bulk
Functional: PBE-GGA
Structure: optimized geometry

Properties
- Spin magnetization: 0.0000 μB/atom
- Formation energy: -686.4 meV/atom
- ΔE to the lowest computed polymorph: 0.0 meV per atom

```
data_Ca4PtAu
_cell_length_a 9.392
_cell_length_b 13.542
_cell_length_c 6.700
_cell_angle_alpha 90.00
_cell_angle_beta 124.00
_cell_angle_gamma 90.00
_space_group_name_H-M_alt 'C 1 2/c 1'
_space_group_IT_number 15
loop_
_space_group_symop_operation_xyz
'x,y,z'
'-x,-y,-z'
'-x,y,-z+1/2'
'x,-y,z+1/2'
'x+1/2,y+1/2,z'
'-x+1/2,-y+1/2,-z'
'-x+1/2,y+1/2,-z+1/2'
'x+1/2,-y+1/2,z+1/2'
loop_
_atom_site_label
_atom_site_fract_x
_atom_site_fract_y
_atom_site_fract_z
_atom_site_occupancy
Ca1 0.121 0.175 0.089 1
Ca2 0.203 0.441 0.269 1
Pt1 0.000 0.004 0.250 1
Au1 0.000 0.364 0.750 1
```

(9)
Compound: NaCeCd3
Source: Alexandria via LeMat-Bulk
Functional: PBE-GGA
Structure: optimized geometry

Properties
- Spin magnetization: 0.2468 μB/atom
- Formation energy: 61.1 meV/atom

```
data_NaCeCd3
_cell_length_a 16.744
_cell_length_b 6.286
_cell_length_c 5.339
_cell_angle_alpha 90.00
_cell_angle_beta 107.30
_cell_angle_gamma 90.00
_space_group_name_H-M_alt 'C 1 2/m 1'
_space_group_IT_number 12
loop_
_space_group_symop_operation_xyz
'x,y,z'
'-x,-y,-z'
'-x,y,-z'
'x,-y,z'
'x+1/2,y+1/2,z'
'-x+1/2,-y+1/2,-z'
'-x+1/2,y+1/2,-z'
'x+1/2,-y+1/2,z'
loop_
_atom_site_label
_atom_site_fract_x
_atom_site_fract_y
_atom_site_fract_z
_atom_site_occupancy
Na1 0.142 0.000 0.371 1
Ce1 0.052 0.500 0.844 1
Cd1 0.045 0.000 0.783 1
Cd2 0.164 0.500 0.448 1
Cd3 0.239 0.000 0.962 1
```

(10)
Compound: Hf3Te4S2
Source: Alexandria via LeMat-Bulk
Functional: PBE-GGA
Structure: optimized geometry

Properties
- Spin magnetization: 0.0000 μB/atom
- Uncorrected formation energy: -0.866 eV/atom

```
data_Hf3Te4S2
_cell_length_a 3.7552
_cell_length_b 3.7552
_cell_length_c 27.1581
_cell_angle_alpha 90.00
_cell_angle_beta 90.00
_cell_angle_gamma 120.00
_space_group_name_H-M_alt 'P -6 m 2'
_space_group_IT_number 187
_space_group_name_Hall 'P -6 2'
loop_
_atom_site_label
_atom_site_fract_x
_atom_site_fract_y
_atom_site_fract_z
_atom_site_occupancy
Hf1 0.0000 0.0000 0.0000 1
Hf2 0.3333 0.6667 0.2619 1
Te1 0.0000 0.0000 0.1920 1
Te2 0.0000 0.0000 0.3321 1
S1 0.3333 0.6667 0.0559 1
```

(11)
Compound: LaGa4Cu2Pd
Source: Alexandria via LeMat-Bulk
Functional: PBE-GGA
Structure: optimized geometry

Properties
- Spin magnetization: 0.0000 μB/atom
- Formation energy: -410.4 meV/atom

```
data_LaGa4Cu2Pd
_cell_length_a 4.2310
_cell_length_b 4.2310
_cell_length_c 27.6630
_cell_angle_alpha 90.00
_cell_angle_beta 90.00
_cell_angle_gamma 120.00
_space_group_name_H-M_alt 'R -3 m'
_space_group_IT_number 166
_space_group_name_Hall '-R 3 2"'
loop_
_atom_site_label
_atom_site_fract_x
_atom_site_fract_y
_atom_site_fract_z
_atom_site_occupancy
La1 0.0000 0.0000 0.0000 1
Ga1 0.0000 0.0000 0.1282 1
Ga2 0.0000 0.0000 0.4037 1
Cu1 0.0000 0.0000 0.2374 1
Pd1 0.0000 0.0000 0.5000 1
```

(12)
Compound: LaBi2Te
Source: Alexandria via LeMat-Bulk
Functional: PBE-GGA
Structure: optimized geometry

Properties
- Spin magnetization: 0.0000 μB/atom
- Uncorrected formation energy: -0.651 eV/atom

```
data_LaBi2Te
_cell_length_a 4.601
_cell_length_b 4.601
_cell_length_c 26.306
_cell_angle_alpha 90.00
_cell_angle_beta 90.00
_cell_angle_gamma 90.00
_space_group_name_H-M_alt 'I -4 2 d'
_space_group_IT_number 122
_space_group_name_Hall 'I -4 2bw'
loop_
_atom_site_label
_atom_site_fract_x
_atom_site_fract_y
_atom_site_fract_z
_atom_site_occupancy
La1 0.000 0.000 0.000 1
Bi1 0.223 0.250 0.125 1
Te1 0.000 0.000 0.500 1
```

(13)
Compound: SrLiH3
Source: Alexandria via LeMat-Bulk
Functional: PBE-GGA
Structure: optimized geometry

Properties
- Spin magnetization: 0.0000 μB/atom
- ΔE to the lowest computed polymorph: 405.8 meV per atom

```
data_SrLiH3
_cell_length_a 3.9394
_cell_length_b 3.9394
_cell_length_c 13.4044
_cell_angle_alpha 90.00
_cell_angle_beta 90.00
_cell_angle_gamma 120.00
_space_group_name_H-M_alt 'P 63/m m c'
_space_group_IT_number 194
_space_group_name_Hall '-P 6c 2c'
loop_
_atom_site_label
_atom_site_fract_x
_atom_site_fract_y
_atom_site_fract_z
_atom_site_occupancy
Sr1 0.3333 0.6667 0.2500 1
Li1 0.0000 0.0000 0.0000 1
H1 0.0000 0.0000 0.2500 1
H2 0.3333 0.6667 0.0739 1
```

(14)
Compound: Hg5Pt3
Source: Alexandria via LeMat-Bulk
Functional: PBE-GGA
Structure: optimized geometry

Properties
- Spin magnetization: 0.0000 μB/atom
- Formation energy: 74.5 meV/atom
- ΔE to the lowest computed polymorph: 0.0 meV per atom

```
data_Hg5Pt3
_cell_length_a 5.907
_cell_length_b 15.129
_cell_length_c 7.600
_cell_angle_alpha 90.00
_cell_angle_beta 104.95
_cell_angle_gamma 90.00
_space_group_name_H-M_alt 'C 1 2/m 1'
_space_group_IT_number 12
loop_
_space_group_symop_operation_xyz
'x,y,z'
'-x,-y,-z'
'-x,y,-z'
'x,-y,z'
'x+1/2,y+1/2,z'
'-x+1/2,-y+1/2,-z'
'-x+1/2,y+1/2,-z'
'x+1/2,-y+1/2,z'
loop_
_atom_site_label
_atom_site_fract_x
_atom_site_fract_y
_atom_site_fract_z
_atom_site_occupancy
Hg1 0.147 0.179 0.197 1
Hg2 0.196 0.396 0.360 1
Hg3 0.240 0.500 0.976 1
Pt1 0.000 0.252 0.500 1
Pt2 0.000 0.338 0.000 1
Pt3 0.083 0.000 0.330 1
```

(15)
Compound: K2TiGaCl6
Source: Alexandria via LeMat-Bulk
Functional: PBE-GGA
Structure: optimized geometry

Properties
- Spin magnetization: 0.1000 μB/atom
- Uncorrected formation energy: -1.564 eV/atom

```
data_K2TiGaCl6
_cell_length_a 7.285
_cell_length_b 7.288
_cell_length_c 7.317
_cell_angle_alpha 62.31
_cell_angle_beta 62.48
_cell_angle_gamma 62.37
_space_group_name_H-M_alt 'P -1'
_space_group_IT_number 2
loop_
_space_group_symop_operation_xyz
'x,y,z'
'-x,-y,-z'
loop_
_atom_site_label
_atom_site_fract_x
_atom_site_fract_y
_atom_site_fract_z
_atom_site_occupancy
K1 0.238 0.234 0.235 1
Ti1 0.000 0.000 0.000 1
Ga1 0.500 0.500 0.500 1
Cl1 0.141 0.309 0.790 1
Cl2 0.213 0.857 0.693 1
Cl3 0.308 0.789 0.144 1
```

(16)
Compound: TiSnIr2
Source: Alexandria via LeMat-Bulk
Functional: PBE-GGA
Structure: optimized geometry

Properties
- Spin magnetization: 0.0000 μB/atom
- Formation energy: 48.4 meV/atom

```
data_TiSnIr2
_cell_length_a 4.114
_cell_length_b 4.114
_cell_length_c 17.354
_cell_angle_alpha 90.00
_cell_angle_beta 90.00
_cell_angle_gamma 90.00
_space_group_name_H-M_alt 'I -4 2 d'
_space_group_IT_number 122
_space_group_name_Hall 'I -4 2bw'
loop_
_atom_site_label
_atom_site_fract_x
_atom_site_fract_y
_atom_site_fract_z
_atom_site_occupancy
Ti1 0.000 0.000 0.000 1
Sn1 0.000 0.000 0.500 1
Ir1 0.225 0.250 0.125 1
```

(17)
Compound: BaTcPt
Source: Alexandria via LeMat-Bulk
Functional: PBE-GGA
Structure: optimized geometry

Properties
- Spin magnetization: 0.0002 μB/atom
- Formation energy: 133.8 meV/atom
- ΔE to the lowest computed polymorph: 0.0 meV per atom

```
data_BaTcPt
_cell_length_a 4.2909
_cell_length_b 4.2909
_cell_length_c 5.1728
_cell_angle_alpha 90.00
_cell_angle_beta 90.00
_cell_angle_gamma 120.00
_space_group_name_H-M_alt 'P -6 m 2'
_space_group_IT_number 187
_space_group_name_Hall 'P -6 2'
loop_
_atom_site_label
_atom_site_fract_x
_atom_site_fract_y
_atom_site_fract_z
_atom_site_occupancy
Ba1 0.0000 0.0000 0.0000 1
Tc1 0.6667 0.3333 0.5000 1
Pt1 0.3333 0.6667 0.5000 1
```

(18)
Compound: AcEr4
Source: Alexandria via LeMat-Bulk
Functional: PBE-GGA
Structure: optimized geometry

Properties
- Spin magnetization: 0.0000 μB/atom
- Formation energy: 56.1 meV/atom
- ΔE to the lowest computed polymorph: 0.0 meV per atom

```
data_AcEr4
_cell_length_a 3.652
_cell_length_b 4.976
_cell_length_c 18.195
_cell_angle_alpha 90.00
_cell_angle_beta 90.00
_cell_angle_gamma 90.00
_space_group_name_H-M_alt 'I m m m'
_space_group_IT_number 71
_space_group_name_Hall '-I 2 2'
loop_
_atom_site_label
_atom_site_fract_x
_atom_site_fract_y
_atom_site_fract_z
_atom_site_occupancy
Ac1 0.000 0.000 0.000 1
Er1 0.000 0.000 0.201 1
Er2 0.000 0.000 0.392 1
```

(19)
Compound: Na2Pt3Pb2
Source: Alexandria via LeMat-Bulk
Functional: PBE-GGA
Structure: optimized geometry

Properties
- Spin magnetization: 0.0000 μB/atom
- Formation energy: -212.1 meV/atom
- ΔE to the lowest computed polymorph: 33.6 meV per atom

```
data_Na2Pt3Pb2
_cell_length_a 12.985
_cell_length_b 4.439
_cell_length_c 5.832
_cell_angle_alpha 90.00
_cell_angle_beta 96.63
_cell_angle_gamma 90.00
_space_group_name_H-M_alt 'C 1 2/m 1'
_space_group_IT_number 12
loop_
_space_group_symop_operation_xyz
'x,y,z'
'-x,-y,-z'
'-x,y,-z'
'x,-y,z'
'x+1/2,y+1/2,z'
'-x+1/2,-y+1/2,-z'
'-x+1/2,y+1/2,-z'
'x+1/2,-y+1/2,z'
loop_
_atom_site_label
_atom_site_fract_x
_atom_site_fract_y
_atom_site_fract_z
_atom_site_occupancy
Na1 0.159 0.000 0.389 1
Pt1 0.000 0.000 0.000 1
Pt2 0.203 0.000 0.914 1
Pb1 0.078 0.500 0.774 1
```

(20)
Compound: AcIn9Ru2
Source: Alexandria via LeMat-Bulk
Functional: PBE-GGA
Structure: optimized geometry

Properties
- Spin magnetization: 0.0000 μB/atom
- Formation energy: -41.2 meV/atom

```
data_AcIn9Ru2
_cell_length_a 12.153
_cell_length_b 12.153
_cell_length_c 7.586
_cell_angle_alpha 90.00
_cell_angle_beta 90.00
_cell_angle_gamma 90.00
_space_group_name_H-M_alt 'I 41/a m d'
_space_group_IT_number 141
loop_
_space_group_symop_operation_xyz
'x,y,z'
'-x,-y,-z'
'-y+1/4,x+3/4,z+1/4'
'y+1/4,-x+3/4,-z+1/4'
'-x+1/2,-y,z+1/2'
'x+1/2,y,-z+1/2'
'y+1/4,-x+1/4,z+3/4'
'-y+1/4,x+1/4,-z+3/4'
'x,-y,-z'
'-x,y,z'
'-y+1/4,-x+1/4,-z+3/4'
'y+1/4,x+1/4,z+3/4'
'-x+1/2,y,-z+1/2'
'x+1/2,-y,z+1/2'
'y+1/4,x+3/4,-z+1/4'
'-y+1/4,-x+3/4,z+1/4'
'x+1/2,y+1/2,z+1/2'
'-x+1/2,-y+1/2,-z+1/2'
'-y+3/4,x+1/4,z+3/4'
'y+3/4,-x+1/4,-z+3/4'
'-x,-y+1/2,z'
'x,y+1/2,-z'
'y+3/4,-x+3/4,z+1/4'
'-y+3/4,x+3/4,-z+1/4'
'x+1/2,-y+1/2,-z+1/2'
'-x+1/2,y+1/2,z+1/2'
'-y+3/4,-x+3/4,-z+1/4'
'y+3/4,x+3/4,z+1/4'
'-x,y+1/2,-z'
'x,-y+1/2,z'
'y+3/4,x+1/4,-z+3/4'
'-y+3/4,-x+1/4,z+3/4'
loop_
_atom_site_label
_atom_site_fract_x
_atom_site_fract_y
_atom_site_fract_z
_atom_site_occupancy
Ac1 0.000 0.250 0.375 1
In1 0.000 0.250 0.875 1
In2 0.121 0.058 0.682 1
Ru1 0.000 0.000 0.000 1
```

| no. | E (eV per formula unit) |
| --- | --- |
| 1 | -21.8 |
| 2 | -90.3 |
| 3 | -19.5 |
| 4 | -39.4 |
| 5 | -22.1 |
| 6 | -54.2 |
| 7 | -66.6 |
| 8 | -21.4 |
| 9 | -9.7 |
| 10 | -58.5 |
| 11 | -33.7 |
| 12 | -18.4 |
| 13 | -14.3 |
| 14 | -19.0 |
| 15 | -39.8 |
| 16 | -29.4 |
| 17 | -17.9 |
| 18 | -22.1 |
| 19 | -29.7 |
| 20 | -47.8 |